A relaxed structure of AcMn2BeO8. Source: Alexandria via LeMat-Bulk, functional GGA+U.

Results
DFT total energy, eV per atom: -6.748

```
AcMn2BeO8
1.0
-4.103 1.767 2.446
1.956 -4.533 1.253
4.032 3.009 4.591
Mn O Ac Be
2 8 1 1
Cartesian
2.855 -0.255 4.974
-0.970 0.498 3.316
3.022 0.725 3.607
-1.981 -0.257 2.165
0.554 0.448 2.587
-1.137 -0.482 4.683
3.866 0.500 6.125
-1.636 2.045 3.465
3.521 -1.802 4.825
1.330 -0.205 5.702
0.000 0.000 0.000
2.016 1.504 2.295
```